4
Lattice="3.046 0.000 0.000 0.000 6.800 0.040 0.000 3.982 3.391" Properties=species:S:1:pos:R:3 comment="Cr2IrBr GGA-PBE relaxed" e_above_lowest_polymorph_kj_per_mol_atoms=32.42 sg="P2/m (10)" pbc="T T T"
Cr 1.523 3.400 0.020
Cr 0.000 0.000 0.000
Ir 1.523 5.391 1.715
Br 0.000 1.991 1.695

=====

4
Lattice="5.387 0.000 0.000 2.719 4.650 0.000 -4.053 -2.325 2.681" Properties=species:S:1:pos:R:3 comment="Cr2IrBr GGA-PBE relaxed" e_above_lowest_polymorph_kj_per_mol_atoms=57.88 sg="I-4m2 (119)" pbc="T T T"
Ir 4.053 2.325 0.000
Cr 1.360 2.325 1.340
Cr 0.000 0.000 0.000
Br 2.694 0.000 1.340

=====

5
Lattice="-4.252 -1.751 -1.574 -1.372 -0.798 4.594 -1.914 4.463 0.204" Properties=species:S:1:pos:R:3 comment="Cr3IrBr GGA-PBE relaxed" e_above_lowest_polymorph_kj_per_mol_atoms=0.00 sg="Pm-3m (221)" pbc="T T T"
Br -3.769 0.957 1.612
Cr -0.686 -0.399 2.297
Cr -0.957 2.231 0.102
Cr -2.126 -0.876 -0.787
Ir 0.000 0.000 0.000

=====

4
Lattice="-2.254 0.598 -3.834 -4.470 0.393 0.063 -1.917 3.961 -0.882" Properties=species:S:1:pos:R:3 comment="Cr2IrBr GGA-PBE relaxed" e_above_lowest_polymorph_kj_per_mol_atoms=58.72 sg="F-43m (216)" pbc="T T T"
Cr 0.000 0.000 0.000
Cr -2.160 1.238 -1.163
Br -4.320 2.476 -2.326
Ir -6.480 3.714 -3.489

=====

4
Lattice="9.220 0.046 0.027 8.738 2.942 0.027 8.738 1.454 2.558" Properties=species:S:1:pos:R:3 comment="Cr2IrBr GGA-PBE relaxed" e_above_lowest_polymorph_kj_per_mol_atoms=21.12 sg="R3m (160)" pbc="T T T"
Br 19.468 3.239 1.905
Ir 13.937 2.319 1.364
Cr 26.438 4.399 2.587
Cr 6.895 1.147 0.675

=====

7
Lattice="5.325 0.000 0.000 0.000 5.325 0.000 2.662 2.662 6.275" Properties=species:S:1:pos:R:3 comment="CrIr2Br4 GGA-PBE relaxed" sg="I4/mmm (139)" pbc="T T T"
Br 5.325 5.325 2.572
Br 2.662 2.662 3.703
Br 2.662 0.000 0.000
Br 0.000 2.662 0.000
Ir 2.662 2.662 1.175
Ir 5.325 5.325 5.100
Cr 0.000 0.000 0.000

=====

4
Lattice="3.143 0.000 0.000 0.000 3.143 0.000 0.000 0.000 6.975" Properties=species:S:1:pos:R:3 comment="Cr2IrBr GGA-PBE relaxed" e_above_lowest_polymorph_kj_per_mol_atoms=14.14 sg="P4mm (99)" pbc="T T T"
Br 1.571 1.571 5.540
Cr 0.000 0.000 0.233
Cr 1.571 1.571 1.767
Ir 0.000 0.000 2.922

=====

4
Lattice="-0.586 1.811 -4.265 -2.835 -1.013 -0.041 -0.878 4.468 2.018" Properties=species:S:1:pos:R:3 comment="Cr2IrBr GGA-PBE relaxed" e_above_lowest_polymorph_kj_per_mol_atoms=26.90 sg="Pm (6)" pbc="T T T"
Br -3.401 3.684 -0.525
Cr -3.668 3.299 1.905
Cr -0.793 2.348 -1.452
Ir -2.009 1.119 0.751

=====

The calculation returns the following electronic total energy values, one per record and in order: -6.829 -6.565 -6.885 -6.556 -6.946 -4.268 -7.018 -6.886 eV/atom.
The calculation returns the following formation energy without anion corrections values, one per record and in order: 59.4 84.9 96.1 85.7 48.1 57.3 41.2 53.9 kJ/mol of atoms.